DFT (GGA-PBE) results for crystalline Np2GeTe at its relaxed geometry.

raw formation energy: -0.28 eV per atom
polymorph energy (0 for the lowest one): 0.000 eV/atom

abc: 4.310 4.310 7.298
angles: 72.83 72.83 60.00
Element x y z (fractional)
Np: 0.259 0.259 0.223
Np: 0.741 0.741 0.777
Ge: 0.000 0.000 0.000
Te: 0.500 0.500 0.500

DFT (GGA-PBE) results for crystalline NpGeTe4 at its relaxed geometry.

raw formation energy: -0.16 eV per atom

abc: 7.428 6.872 7.713
angles: 90.00 94.35 90.00
Element x y z (fractional)
Np: 0.000 0.000 0.000
Np: 0.500 0.500 0.000
Ge: 0.500 0.000 0.500
Ge: 0.000 0.500 0.500
Te: 0.862 0.619 0.155
Te: 0.638 0.119 0.845
Te: 0.382 0.393 0.379
Te: 0.118 0.893 0.621
Te: 0.138 0.381 0.845
Te: 0.362 0.881 0.155
Te: 0.618 0.607 0.621
Te: 0.882 0.107 0.379

- What is the raw formation energy in the first record?
  -0.28 eV per atom

- What is the raw formation energy in the second record?
  -0.16 eV per atom

- The lowest raw formation energy belongs to which entry?
  Np2GeTe